w | The following is a DFT calculation (PBE) of crystalline KFeRh3 at its relaxed geometry.

Summary:
SG = Pm-3m

Geometry as POSCAR:
```
KFeRh3
1.0
4.6452 0.0000 0.0000
0.0000 4.6452 0.0000
0.0000 0.0000 4.6452
K Fe Rh
1 1 3
Direct
0.0000 0.0000 0.0000
0.5000 0.5000 0.5000
0.0000 0.0000 0.5000
0.0000 0.5000 0.0000
0.5000 0.0000 0.0000
```

=====

x | The following is a DFT calculation (PBE) of crystalline KFeRh3 at its relaxed geometry.

Summary:
SG = Pm-3m

Geometry as POSCAR:
```
KFeRh3
1.0
4.5780 0.0000 0.0000
0.0000 4.5780 0.0000
0.0000 0.0000 4.5780
K Fe Rh
1 1 3
Direct
0.0000 0.0000 0.0000
0.5000 0.5000 0.5000
0.0000 0.5000 0.5000
0.5000 0.0000 0.5000
0.5000 0.5000 0.0000
```

=====

So which one wins? Going from most stable to least: x, w.

=====

w | The following is a DFT calculation (PBE) of crystalline KFeRh2 at its relaxed geometry.

Summary:
SG = P2/m

Geometry as POSCAR:
```
KFeRh2
1.0
5.1297 0.0000 0.0000
0.0000 2.7180 0.0000
-2.1842 0.0000 4.8137
K Fe Rh
1 1 2
Direct
0.0000 0.0000 0.0000
0.0000 0.5000 0.5000
0.5000 0.0000 0.5000
0.5000 0.5000 0.0000
```

=====

x | The following is a DFT calculation (PBE) of crystalline KFeRh2 at its relaxed geometry.

Summary:
SG = Cm

Geometry as POSCAR:
```
KFeRh2
1.0
4.6760 -1.4922 0.0000
4.6760 1.4922 0.0000
-1.1267 0.0000 6.1471
K Fe Rh
1 1 2
Direct
0.0000 0.0000 0.0000
0.7903 0.7903 0.3787
0.2223 0.2223 0.6435
0.4954 0.4954 0.5024
```

=====

So which one wins? Going from most stable to least: x, w.

=====

w | The following is a DFT calculation (PBE) of crystalline KFeRh2 at its relaxed geometry.

Summary:
SG = F-43m

Geometry as POSCAR:
```
KFeRh2
1.0
0.0000 3.2444 3.2444
3.2444 0.0000 3.2444
3.2444 3.2444 0.0000
K Fe Rh
1 1 2
Direct
0.0000 0.0000 0.0000
0.2500 0.2500 0.2500
0.5000 0.5000 0.5000
0.7500 0.7500 0.7500
```

=====

x | The following is a DFT calculation (PBE) of crystalline KFeRh2 at its relaxed geometry.

Summary:
SG = Pmm2

Geometry as POSCAR:
```
KFeRh2
1.0
2.7973 0.0000 0.0000
0.0000 3.7464 0.0000
0.0000 0.0000 7.5372
K Fe Rh
1 1 2
Direct
0.0000 0.0000 0.0000
0.5000 0.5000 0.6432
0.0000 0.0000 0.5138
0.5000 0.5000 0.3210
```

=====

y | The following is a DFT calculation (PBE) of crystalline KFeRh2 at its relaxed geometry.

Summary:
SG = Cmmm

Geometry as POSCAR:
```
KFeRh2
1.0
2.9734 -4.3671 0.0000
2.9734 4.3671 0.0000
0.0000 0.0000 2.6225
K Fe Rh
1 1 2
Direct
0.0000 0.0000 0.0000
0.5000 0.5000 0.0000
0.0000 0.5000 0.5000
0.5000 0.0000 0.5000
```

=====

So which one wins? Going from most stable to least: x, y, w.

=====

w | The following is a DFT calculation (PBE) of crystalline KFeRh2 at its relaxed geometry.

Summary:
SG = Fm-3m

Geometry as POSCAR:
```
KFeRh2
1.0
0.0000 3.1803 3.1803
3.1803 0.0000 3.1803
3.1803 3.1803 0.0000
K Fe Rh
1 1 2
Direct
0.0000 0.0000 0.0000
0.5000 0.5000 0.5000
0.2500 0.2500 0.2500
0.7500 0.7500 0.7500
```

=====

x | The following is a DFT calculation (PBE) of crystalline KFeRh2 at its relaxed geometry.

Summary:
SG = Imm2

Geometry as POSCAR:
```
KFeRh2
1.0
-1.3931 2.5515 5.1281
1.3931 -2.5515 5.1281
1.3931 2.5515 -5.1281
K Fe Rh
1 1 2
Direct
0.0000 0.0000 0.0000
0.7107 0.2107 0.5000
0.2893 0.7893 0.5000
0.5100 0.5100 0.0000
```

=====

So which one wins? Going from most stable to least: x, w.

=====

w | The following is a DFT calculation (PBE) of crystalline KFeRh2 at its relaxed geometry.

Summary:
SG = R-3m

Geometry as POSCAR:
```
KFeRh2
1.0
1.4416 0.8323 9.4960
-1.4416 0.8323 9.4960
0.0000 -1.6647 9.4960
K Fe Rh
1 1 2
Direct
0.0000 0.0000 0.0000
0.5000 0.5000 0.5000
0.2352 0.2352 0.2352
0.7648 0.7648 0.7648
```

=====

x | The following is a DFT calculation (PBE) of crystalline KFeRh2 at its relaxed geometry.

Summary:
SG = Pmmm

Geometry as POSCAR:
```
KFeRh2
1.0
2.8163 0.0000 0.0000
0.0000 4.8192 0.0000
0.0000 0.0000 4.9454
K Fe Rh
1 1 2
Direct
0.0000 0.0000 0.0000
0.5000 0.0000 0.5000
0.0000 0.5000 0.5000
0.5000 0.5000 0.0000
```

=====

y | The following is a DFT calculation (PBE) of crystalline KFeRh2 at its relaxed geometry.

Summary:
SG = P4mm

Geometry as POSCAR:
```
KFeRh2
1.0
2.8180 0.0000 0.0000
0.0000 2.8180 0.0000
0.0000 0.0000 9.1491
K Fe Rh
1 1 2
Direct
0.0000 0.0000 0.0000
0.5000 0.5000 0.6679
0.0000 0.0000 0.4883
0.5000 0.5000 0.2887
```

=====

z | The following is a DFT calculation (PBE) of crystalline KFeRh2 at its relaxed geometry.

Summary:
SG = Pm

Geometry as POSCAR:
```
KFeRh2
1.0
2.7791 0.0000 0.0000
0.0000 4.3101 0.0000
-1.3744 0.0000 6.8003
K Fe Rh
1 1 2
Direct
0.0000 0.0000 0.0000
0.3284 0.5000 0.6562
0.2395 0.0000 0.4775
0.6774 0.5000 0.3520
```

=====

So which one wins? Going from most stable to least: w, z, y, x.

=====

w | The following is a DFT calculation (PBE) of crystalline KFeRh2 at its relaxed geometry.

Summary:
SG = Immm

Geometry as POSCAR:
```
KFeRh2
1.0
-1.4093 2.6012 4.8498
1.4093 -2.6012 4.8498
1.4093 2.6012 -4.8498
K Fe Rh
1 1 2
Direct
0.0000 0.0000 0.0000
0.5000 0.5000 0.0000
0.2891 0.7891 0.5000
0.7109 0.2109 0.5000
```

=====

x | The following is a DFT calculation (PBE) of crystalline KFeRh2 at its relaxed geometry.

Summary:
SG = C2/m

Geometry as POSCAR:
```
KFeRh2
1.0
2.9052 -4.6325 0.0000
2.9052 4.6325 0.0000
-0.9695 0.0000 2.5003
K Fe Rh
1 1 2
Direct
0.0000 0.0000 0.0000
0.5000 0.5000 0.0000
0.0000 0.5000 0.5000
0.5000 0.0000 0.5000
```

=====

y | The following is a DFT calculation (PBE) of crystalline KFeRh2 at its relaxed geometry.

Summary:
SG = I-42d

Geometry as POSCAR:
```
KFeRh2
1.0
-2.4560 2.4560 8.1893
2.4560 -2.4560 8.1893
2.4560 2.4560 -8.1893
K Fe Rh
2 2 4
Direct
0.0000 0.0000 0.0000
0.7500 0.2500 0.5000
0.2500 0.7500 0.5000
0.5000 0.5000 0.0000
0.2992 0.6250 0.1742
0.3750 0.5492 0.6742
0.4508 0.1250 0.8258
0.8750 0.7008 0.3258
```

=====

So which one wins? Going from most stable to least: w, x, y.